[1]
This record from Alexandria via LeMat-Bulk describes LaSi2Ir after structural relaxation. The functional is PBE-GGA.

a = 3.697 Å, b = 3.878 Å, c = 5.543 Å
α = 90.00°, β = 90.07°, γ = 90.00°
Space group Pm (No. 6)
One atom of each set of equivalent atoms:
La: 0.000 0.000 0.000 [1 per cell]
Si: 0.500 0.000 0.529 [1 per cell]
Si: 0.501 0.500 0.262 [1 per cell]
Ir: 0.001 0.500 0.535 [1 per cell]

=====

[2]
This record from Alexandria via LeMat-Bulk describes LaSi2Ir after structural relaxation. The functional is PBE-GGA.

a = 3.216 Å, b = 3.216 Å, c = 7.024 Å
α = 90.00°, β = 90.00°, γ = 90.00°
Space group P4/mmm (No. 123)
One atom of each set of equivalent atoms:
La: 0.000 0.000 0.000 [1 per cell]
Si: 0.500 0.500 0.314 [2 per cell]
Ir: 0.000 0.000 0.500 [1 per cell]

=====

[3]
This record from Alexandria via LeMat-Bulk describes LaSi2Ir after structural relaxation. The functional is PBE-GGA.

a = 4.147 Å, b = 4.147 Å, c = 4.418 Å
α = 90.00°, β = 90.00°, γ = 90.00°
Space group P4/mmm (No. 123)
One atom of each set of equivalent atoms:
La: 0.000 0.000 0.000 [1 per cell]
Si: 0.000 0.500 0.500 [2 per cell]
Ir: 0.500 0.500 0.000 [1 per cell]

=====

[4]
This record from Alexandria via LeMat-Bulk describes LaSiIr3 after structural relaxation. The functional is PBE-GGA.

a = 4.562 Å, b = 4.562 Å, c = 4.562 Å
α = 90.00°, β = 90.00°, γ = 90.00°
Space group Pm-3m (No. 221)
One atom of each set of equivalent atoms:
La: 0.000 0.000 0.000 [1 per cell]
Si: 0.500 0.500 0.500 [1 per cell]
Ir: 0.000 0.500 0.500 [3 per cell]

=====

Number 1: raw formation energy -205 kJ/mol of formula units. Number 2: raw formation energy -146 kJ/mol of formula units. Number 3: raw formation energy -72 kJ/mol of formula units. Number 4: raw formation energy -145 kJ/mol of formula units.